Record 1
Here is an optimized crystal structure of Rb2MgAlBi from the Alexandria database. Energies are from GGA-PBEsol.

Magnetization   0.00 μB/f.u.
Formation energy from the elements   0.334 eV per atom
Fermi-level density of states   3.894 states/eV/f.u.
E_tot   -2.09 eV per atom

Lattice parameters (Å, degrees): 5.445 7.045 7.045 90.00 90.00 90.00
Sites, in units of the cell vectors:
Mg (0.500, 0.500, 0.500)
Bi (0.000, 0.000, 0.000)
Rb (0.000, 0.000, 0.500)
Rb (0.000, 0.500, 0.000)
Al (0.500, 0.000, 0.000)



Record 2
Here is an optimized crystal structure of Zr2TiGaBi from the Alexandria database. Energies are from GGA-PBEsol.

Magnetization   0.90 μB/f.u.
Formation energy from the elements   1.090 eV per atom
Fermi-level density of states   6.364 states/eV/f.u.
E_tot   -5.74 eV per atom

Lattice parameters (Å, degrees): 4.987 5.338 5.338 90.00 90.00 90.00
Sites, in units of the cell vectors:
Ga (0.500, 0.500, 0.500)
Bi (0.000, 0.000, 0.000)
Zr (0.000, 0.000, 0.500)
Zr (0.000, 0.500, 0.000)
Ti (0.500, 0.000, 0.000)



Record 3
Here is an optimized crystal structure of MoRu7 from the Alexandria database. Energies are from GGA-PBEsol.

Magnetization   0.00 μB/f.u.
Formation energy from the elements   0.080 eV per atom
Fermi-level density of states   8.980 states/eV/f.u.
E_tot   -10.29 eV per atom

Lattice parameters (Å, degrees): 5.354 5.354 5.354 60.00 60.00 60.00
Sites, in units of the cell vectors:
Mo (0.000, 0.000, 0.000)
Ru (0.000, 0.500, 0.500)
Ru (0.000, 0.500, 0.000)
Ru (0.000, 0.000, 0.500)
Ru (0.500, 0.500, 0.000)
Ru (0.500, 0.000, 0.500)
Ru (0.500, 0.000, 0.000)
Ru (0.500, 0.500, 0.500)



Copy entry 3 word for word.
Here is an optimized crystal structure of MoRu7 from the Alexandria database. Energies are from GGA-PBEsol.

Magnetization   0.00 μB/f.u.
Formation energy from the elements   0.080 eV per atom
Fermi-level density of states   8.980 states/eV/f.u.
E_tot   -10.29 eV per atom

Lattice parameters (Å, degrees): 5.354 5.354 5.354 60.00 60.00 60.00
Sites, in units of the cell vectors:
Mo (0.000, 0.000, 0.000)
Ru (0.000, 0.500, 0.500)
Ru (0.000, 0.500, 0.000)
Ru (0.000, 0.000, 0.500)
Ru (0.500, 0.500, 0.000)
Ru (0.500, 0.000, 0.500)
Ru (0.500, 0.000, 0.000)
Ru (0.500, 0.500, 0.500)